[1]
Here is a relaxed structure of TbSm5Y from the Alexandria database. Energies are from PBE-GGA.

Summary:
energy of formation = 165 meV/atom
DOS at the Fermi energy = 10.29 states/eV/f.u.
symmetry = C2/c
mass density = 6.96 g cm⁻³
energy above the most stable polymorph in this dataset = 0.000 eV/atom
DFT total energy = -0.1761 hartree per atom

a = 8.9059 Å, b = 8.9059 Å, c = 13.3605 Å
α = 45.21°, β = 45.21°, γ = 43.75°
Atoms (fractional coordinates):
Sm: 0.6697 0.6651 0.9132
Sm: 0.2524 0.2575 0.4025
Tb: 0.0000 0.0000 0.0000
Sm: 0.2575 0.2524 0.9025
Sm: 0.3349 0.3303 0.5868
Sm: 0.7425 0.7476 0.0975
Y: 0.7637 0.2363 0.2500
Sm: 0.3303 0.3349 0.0868
Y: 0.2363 0.7637 0.7500
Sm: 0.6651 0.6697 0.4132
Tb: 0.0000 0.0000 0.5000
Sm: 0.7620 0.2380 0.7500
Sm: 0.2380 0.7620 0.2500
Sm: 0.7476 0.7425 0.5975

[2]
Here is a relaxed structure of Sc2TaRh from the Alexandria database. Energies are from PBE-GGA.

Summary:
energy of formation = -330 meV/atom
DOS at the Fermi energy = 3.50 states/eV/f.u.
symmetry = Imm2
mass density = 8.22 g cm⁻³
energy above the most stable polymorph in this dataset = 0.034 eV/atom
DFT total energy = -0.3049 hartree per atom

a = 5.7114 Å, b = 5.7114 Å, c = 4.7803 Å
α = 65.25°, β = 65.25°, γ = 32.54°
Atoms (fractional coordinates):
Sc: 0.7559 0.7559 0.7442
Rh: 0.2430 0.2430 0.2570
Ta: 0.5265 0.5265 0.4734
Sc: 0.9746 0.9746 0.0254

[3]
Here is a relaxed structure of DyIn2Ge from the Alexandria database. Energies are from PBE-GGA.

Summary:
energy of formation = -406 meV/atom
DOS at the Fermi energy = 1.40 states/eV/f.u.
symmetry = P4/mmm
mass density = 8.29 g cm⁻³
energy above the most stable polymorph in this dataset = 0.000 eV/atom
DFT total energy = -0.1499 hartree per atom

a = 4.9170 Å, b = 4.3500 Å, c = 4.3500 Å
α = 90.00°, β = 90.00°, γ = 90.00°
Atoms (fractional coordinates):
In: 0.0000 0.0000 0.5000
Ge: 0.5000 0.0000 0.0000
Dy: 0.5000 0.5000 0.5000
In: 0.0000 0.5000 0.0000